Compound: MgCdAu2
Source: the Open Quantum Materials Database
Functional: PBE
Structure: relaxed

Cell and atoms, written as extended XYZ:
```
8
Lattice="4.7084 0.0000 0.0000 -2.3542 4.0776 0.0000 0.0000 0.0000 8.4578" Properties=species:S:1:pos:R:3 pbc="T T T"
Mg 0.0000 2.7184 2.1144
Mg 2.3542 1.3592 6.3433
Cd 0.0000 0.0000 0.0000
Cd 0.0000 0.0000 4.2289
Au 0.0000 2.7184 4.9657
Au 0.0000 2.7184 7.7209
Au 2.3542 1.3592 0.7369
Au 2.3542 1.3592 3.4920
```

Summary:
E_tot   -2.608 eV/atom
Calculated volume   20.3 Å³/atom
Symmetry   No. 194